Entry 1:
The following is a PBE calculation of crystalline CeDy2N at its relaxed geometry, from Alexandria via LeMat-Bulk.

Lattice parameters (Å, degrees): 3.3887 3.3887 9.7339 79.98 79.98 60.00
Fractional coordinates of all 4 atoms:
Dy: 0.8808 0.8808 0.3576
Dy: 0.1192 0.1192 0.6424
N: 0.5000 0.5000 0.5000
Ce: 0.0000 0.0000 0.0000

Values from the calculation:
total DFT energy (no corrections)	-6.54	eV/atom
density of states at the Fermi level	6.1	states/eV/f.u.
polymorph energy (0 for the lowest one)	0	meV per atom
symmetry	R-3m (166)
ΔE_f (raw)	-0.67	eV/atom

=====

Entry 2:
The following is a PBE calculation of crystalline HPd4S at its relaxed geometry, from Alexandria via LeMat-Bulk.

Lattice parameters (Å, degrees): 5.2411 5.2517 6.9877 112.19 112.15 89.70
Fractional coordinates of all 12 atoms:
Pd: 0.8096 0.1392 0.5964
Pd: 0.4587 0.8108 0.0967
Pd: 0.5413 0.1892 0.9033
Pd: 0.8620 0.7142 0.9033
Pd: 0.7132 0.5428 0.4036
Pd: 0.1904 0.8608 0.4036
Pd: 0.2868 0.4572 0.5964
Pd: 0.1380 0.2858 0.0967
H: 0.3734 0.6234 0.2468
H: 0.6266 0.3766 0.7532
S: 0.1248 0.8748 0.7495
S: 0.8752 0.1252 0.2505

Values from the calculation:
total DFT energy (no corrections)	-4.82	eV/atom
density of states at the Fermi level	2.0	states/eV/f.u.
symmetry	C2/c (15)

=====

Entry 3:
The following is a PBE calculation of crystalline Mn2Sb4Ru at its relaxed geometry, from Alexandria via LeMat-Bulk.

Lattice parameters (Å, degrees): 5.1548 5.1548 7.4816 69.85 69.85 90.00
Fractional coordinates of all 7 atoms:
Sb: 0.7951 0.7951 0.4098
Sb: 0.5000 0.0000 0.0000
Sb: 0.2049 0.2049 0.5902
Sb: 0.0000 0.5000 0.0000
Ru: 0.0000 0.0000 0.0000
Mn: 0.4022 0.4022 0.1955
Mn: 0.5978 0.5978 0.8045

Values from the calculation:
total DFT energy (no corrections)	-5.84	eV/atom
density of states at the Fermi level	6.4	states/eV/f.u.
symmetry	I4/mmm (139)
ΔE_f (raw)	0.46	eV/atom

=====

Question: What is the formula in the third record?
Answer: Mn2Sb4Ru

=====

Question: Look up the total DFT energy (no corrections) of the first one.
Answer: -6.54 eV/atom

=====

Question: total DFT energy (no corrections) of number 3 (Mn2Sb4Ru)?
Answer: -5.84 eV/atom

=====

Question: Which value of density of states at the Fermi level does entry 1 give?
Answer: 6.1 states/eV/f.u.